Model A:
Density functional theory data (GGA-PBE) for crystalline K3Cd2In4 at its relaxed geometry.

Geometry as CIF:
```
data_K3Cd2In4
_chemical_formula_sum 'K3 Cd2 In4'
_cell_length_a 5.0082
_cell_length_b 7.0924
_cell_length_c 10.3910
_cell_angle_alpha 108.91
_cell_angle_beta 90.16
_cell_angle_gamma 110.60
_space_group_name_H-M_alt 'P -1'
_space_group_IT_number 2
loop_
_space_group_symop_operation_xyz
'x,y,z'
'-x,-y,-z'
loop_
_atom_site_label
_atom_site_type_symbol
_atom_site_fract_x
_atom_site_fract_y
_atom_site_fract_z
K1 K 0.0000 0.0000 0.0000
K2 K 0.3788 0.7565 0.6287
Cd1 Cd 0.3173 0.6339 0.2392
In1 In 0.0893 0.1802 0.6292
In2 In 0.2830 0.5647 0.9243
```

***

Model B:
Density functional theory data (GGA-PBE) for crystalline K3Cd2In4 at its relaxed geometry.

Geometry as CIF:
```
data_K3Cd2In4
_chemical_formula_sum 'K6 Cd4 In8'
_cell_length_a 11.9439
_cell_length_b 5.3421
_cell_length_c 9.9904
_cell_angle_alpha 90.00
_cell_angle_beta 114.92
_cell_angle_gamma 90.00
_space_group_name_H-M_alt 'C 1 2/m 1'
_space_group_IT_number 12
loop_
_space_group_symop_operation_xyz
'x,y,z'
'-x,-y,-z'
'-x,y,-z'
'x,-y,z'
'x+1/2,y+1/2,z'
'-x+1/2,-y+1/2,-z'
'-x+1/2,y+1/2,-z'
'x+1/2,-y+1/2,z'
loop_
_atom_site_label
_atom_site_type_symbol
_atom_site_fract_x
_atom_site_fract_y
_atom_site_fract_z
K1 K 0.0000 0.0000 0.0000
K2 K 0.2034 0.5000 0.6266
Cd1 Cd 0.0341 0.5000 0.2288
In1 In 0.0165 0.0000 0.6548
In2 In 0.2289 0.5000 0.0746
```

***

Stability check: which of them is least stable? model A.

***

Model A:
Density functional theory data (GGA-PBE) for crystalline KCd9In2 at its relaxed geometry.

Geometry as CIF:
```
data_KCd9In2
_chemical_formula_sum 'K3 Cd27 In6'
_cell_length_a 6.0567
_cell_length_b 6.0567
_cell_length_c 29.0837
_cell_angle_alpha 90.00
_cell_angle_beta 90.00
_cell_angle_gamma 120.00
_space_group_name_H-M_alt 'R -3 m'
_space_group_IT_number 166
_space_group_name_Hall '-R 3 2"'
loop_
_atom_site_label
_atom_site_type_symbol
_atom_site_fract_x
_atom_site_fract_y
_atom_site_fract_z
K1 K 0.0000 0.0000 0.0000
Cd1 Cd 0.0000 0.0000 0.3337
Cd2 Cd 0.0000 0.0000 0.5000
Cd3 Cd 0.0057 0.5029 0.9140
In1 In 0.0000 0.0000 0.1434
```

***

Model B:
Density functional theory data (GGA-PBE) for crystalline KCd9In2 at its relaxed geometry.

Geometry as CIF:
```
data_KCd9In2
_chemical_formula_sum 'K1 Cd9 In2'
_cell_length_a 10.3054
_cell_length_b 10.3054
_cell_length_c 3.2992
_cell_angle_alpha 90.00
_cell_angle_beta 90.00
_cell_angle_gamma 120.00
_space_group_name_H-M_alt 'P 6/m m m'
_space_group_IT_number 191
_space_group_name_Hall '-P 6 2'
loop_
_atom_site_label
_atom_site_type_symbol
_atom_site_fract_x
_atom_site_fract_y
_atom_site_fract_z
K1 K 0.0000 0.0000 0.0000
Cd1 Cd 0.0000 0.5000 0.0000
Cd2 Cd 0.1762 0.3523 0.5000
In1 In 0.3333 0.6667 0.0000
```

***

Stability check: which of them is least stable? model B.

***

Model A:
Density functional theory data (GGA-PBE) for crystalline KCd3In at its relaxed geometry.

Geometry as CIF:
```
data_KCd3In
_chemical_formula_sum 'K1 Cd3 In1'
_cell_length_a 6.1646
_cell_length_b 6.1646
_cell_length_c 6.1646
_cell_angle_alpha 90.00
_cell_angle_beta 90.00
_cell_angle_gamma 90.00
_space_group_name_H-M_alt 'P m -3 m'
_space_group_IT_number 221
_space_group_name_Hall '-P 4 2 3'
loop_
_atom_site_label
_atom_site_type_symbol
_atom_site_fract_x
_atom_site_fract_y
_atom_site_fract_z
K1 K 0.0000 0.0000 0.0000
Cd1 Cd 0.0000 0.0000 0.5000
In1 In 0.5000 0.5000 0.5000
```

***

Model B:
Density functional theory data (GGA-PBE) for crystalline KCd3In at its relaxed geometry.

Geometry as CIF:
```
data_KCd3In
_chemical_formula_sum 'K2 Cd6 In2'
_cell_length_a 5.0033
_cell_length_b 5.0033
_cell_length_c 12.0957
_cell_angle_alpha 90.00
_cell_angle_beta 90.00
_cell_angle_gamma 90.00
_space_group_name_H-M_alt 'I 4 m m'
_space_group_IT_number 107
_space_group_name_Hall 'I 4 -2'
loop_
_atom_site_label
_atom_site_type_symbol
_atom_site_fract_x
_atom_site_fract_y
_atom_site_fract_z
K1 K 0.0000 0.0000 0.0000
Cd1 Cd 0.0000 0.0000 0.3829
Cd2 Cd 0.0000 0.5000 0.2503
In1 In 0.0000 0.0000 0.6219
```

***

Stability check: which of them is least stable? model A.

***

Model A:
Density functional theory data (GGA-PBE) for crystalline KCd3In2 at its relaxed geometry.

Geometry as CIF:
```
data_KCd3In2
_chemical_formula_sum 'K4 Cd12 In8'
_cell_length_a 11.2357
_cell_length_b 9.6488
_cell_length_c 6.4424
_cell_angle_alpha 90.00
_cell_angle_beta 90.00
_cell_angle_gamma 90.00
_space_group_name_H-M_alt 'C m c m'
_space_group_IT_number 63
_space_group_name_Hall '-C 2c 2'
loop_
_atom_site_label
_atom_site_type_symbol
_atom_site_fract_x
_atom_site_fract_y
_atom_site_fract_z
K1 K 0.0000 0.1678 0.2500
Cd1 Cd 0.0000 0.4579 0.7500
Cd2 Cd 0.1461 0.2111 0.7500
In1 In 0.2256 0.5000 0.0000
```

***

Model B:
Density functional theory data (GGA-PBE) for crystalline KCd3In2 at its relaxed geometry.

Geometry as CIF:
```
data_KCd3In2
_chemical_formula_sum 'K4 Cd12 In8'
_cell_length_a 16.2794
_cell_length_b 8.9198
_cell_length_c 4.9623
_cell_angle_alpha 90.00
_cell_angle_beta 107.35
_cell_angle_gamma 90.00
_space_group_name_H-M_alt 'C 1 2/m 1'
_space_group_IT_number 12
loop_
_space_group_symop_operation_xyz
'x,y,z'
'-x,-y,-z'
'-x,y,-z'
'x,-y,z'
'x+1/2,y+1/2,z'
'-x+1/2,-y+1/2,-z'
'-x+1/2,y+1/2,-z'
'x+1/2,-y+1/2,z'
loop_
_atom_site_label
_atom_site_type_symbol
_atom_site_fract_x
_atom_site_fract_y
_atom_site_fract_z
K1 K 0.1351 0.0000 0.1346
Cd1 Cd 0.0000 0.3395 0.0000
Cd2 Cd 0.1753 0.2977 0.6754
In1 In 0.0000 0.1666 0.5000
In2 In 0.1838 0.5000 0.1840
```

***

Stability check: which of them is least stable? model B.

***

Model A:
Density functional theory data (GGA-PBE) for crystalline KCdIn3 at its relaxed geometry.

Geometry as CIF:
```
data_KCdIn3
_chemical_formula_sum 'K2 Cd2 In6'
_cell_length_a 6.8231
_cell_length_b 6.8780
_cell_length_c 7.3442
_cell_angle_alpha 90.00
_cell_angle_beta 117.59
_cell_angle_gamma 90.00
_space_group_name_H-M_alt 'C 1 m 1'
_space_group_IT_number 8
loop_
_space_group_symop_operation_xyz
'x,y,z'
'x,-y,z'
'x+1/2,y+1/2,z'
'x+1/2,-y+1/2,z'
loop_
_atom_site_label
_atom_site_type_symbol
_atom_site_fract_x
_atom_site_fract_y
_atom_site_fract_z
K1 K 0.0000 0.0000 0.0000
Cd1 Cd 0.1084 0.5000 0.2165
In1 In 0.3878 0.0000 0.7757
In2 In 0.4959 0.2502 0.4920
```

***

Model B:
Density functional theory data (GGA-PBE) for crystalline KCdIn3 at its relaxed geometry.

Geometry as CIF:
```
data_KCdIn3
_chemical_formula_sum 'K1 Cd1 In3'
_cell_length_a 6.1992
_cell_length_b 6.1992
_cell_length_c 6.1992
_cell_angle_alpha 90.00
_cell_angle_beta 90.00
_cell_angle_gamma 90.00
_space_group_name_H-M_alt 'P m -3 m'
_space_group_IT_number 221
_space_group_name_Hall '-P 4 2 3'
loop_
_atom_site_label
_atom_site_type_symbol
_atom_site_fract_x
_atom_site_fract_y
_atom_site_fract_z
K1 K 0.0000 0.0000 0.0000
Cd1 Cd 0.5000 0.5000 0.5000
In1 In 0.0000 0.0000 0.5000
```

***

Stability check: which of them is least stable? model B.